## B3WO (PBE with a Hubbard U)

Data for crystalline B3WO at its relaxed geometry.

Uncorrected energy = -4.275 eV per atom
Crystal system = cubic
Magnetic moment = 0.653 μB/atom
Fermi-level density of states = 0.52 states/eV per atom

Cell lengths 4.2886, 4.2886, 4.2886 Å; angles 90.00, 90.00, 90.00 degrees
Last column: nearest neighbours and their distance in Å.
Sites, in units of the cell vectors:
1 B 0.0000 0.0000 0.5000  2 W 2.14
2 B 0.0000 0.5000 0.0000  2 W 2.14
3 B 0.5000 0.0000 0.0000  2 W 2.14
4 W 0.0000 0.0000 0.0000  6 B 2.14
5 O 0.5000 0.5000 0.5000  12 B 3.03